SrLa2Be: optimized geometry, PBE.

Summary:
**SG**: R-3m, No. 166
**Formation energy from the elements**: 0.29 eV/atom

a = 11.2769 Å, b = 11.2769 Å, c = 11.2769 Å
α = 19.71°, β = 19.71°, γ = 19.71°
Last column: nearest neighbours and their distance in Å.
Fractional positions:
Sr1 0.2500 0.2500 0.2500  6 Sr 3.86, 6 La 4.22
Be1 0.7500 0.7500 0.7500  6 La 2.96
La1 0.0246 0.0246 0.0246  3 Be 2.96
La2 0.4754 0.4754 0.4754  3 Be 2.96

DyHo2Lu: optimized geometry, PBE.

Summary:
**SG**: P4/mmm, No. 123
**E above lowest polymorph**: 0 meV/atom
**Formation energy from the elements**: 0.03 eV/atom

a = 3.5029 Å, b = 3.5029 Å, c = 9.9241 Å
α = 90.00°, β = 90.00°, γ = 90.00°
Last column: nearest neighbours and their distance in Å.
Fractional positions:
Lu1 0.5000 0.5000 0.0000  8 Ho 3.49, 4 Lu 3.50
Ho1 0.0000 0.0000 0.7526  4 Lu 3.49, 4 Ho 3.50, 4 Dy 3.52
Ho2 0.0000 0.0000 0.2474  4 Lu 3.49, 4 Ho 3.50, 4 Dy 3.52
Dy1 0.5000 0.5000 0.5000  4 Dy 3.50, 8 Ho 3.52

Dy5Zn2In: optimized geometry, PBE.

Summary:
**SG**: I4/mcm, No. 140
**Formation energy from the elements**: -0.28 eV/atom

a = 8.1306 Å, b = 8.1306 Å, c = 8.5952 Å
α = 118.23°, β = 118.23°, γ = 90.00°
Last column: nearest neighbours and their distance in Å.
Fractional positions:
Dy1 0.5070 0.7002 0.7072  3 Zn 3.03-3.04, 2 In 3.35
Dy2 0.7998 0.9930 0.2928  3 Zn 3.03-3.04, 2 In 3.35
Dy3 0.0000 0.0000 0.0000  4 Zn 3.15, 2 In 3.19
Dy4 0.5000 0.5000 0.0000  4 Zn 3.15, 2 In 3.19
Dy5 0.2002 0.0070 0.7072  3 Zn 3.03-3.04, 2 In 3.35
Dy6 0.7002 0.2002 0.7072  3 Zn 3.03-3.04, 2 In 3.35
Dy7 0.0070 0.5070 0.7072  3 Zn 3.03-3.04, 2 In 3.35
Dy8 0.2998 0.7998 0.2928  3 Zn 3.03-3.04, 2 In 3.35
Dy9 0.9930 0.4930 0.2928  3 Zn 3.03-3.04, 2 In 3.35
Dy10 0.4930 0.2998 0.2928  3 Zn 3.03-3.04, 2 In 3.35
Zn1 0.1387 0.3613 0.0000  8 Dy 3.03-3.15, 1 Zn 3.19
Zn2 0.6387 0.1387 0.0000  8 Dy 3.03-3.15, 1 Zn 3.19
Zn3 0.3613 0.8613 0.0000  8 Dy 3.03-3.15, 1 Zn 3.19
Zn4 0.8613 0.6387 0.0000  8 Dy 3.03-3.15, 1 Zn 3.19
In1 0.7500 0.7500 0.5000  10 Dy 3.19-3.35
In2 0.2500 0.2500 0.5000  10 Dy 3.19-3.35

BaCdTe2: optimized geometry, PBE.

Summary:
**SG**: P2_1/c, No. 14
**Raw formation energy**: -1.0671 eV/atom

a = 8.4650 Å, b = 8.9778 Å, c = 8.7053 Å
α = 90.00°, β = 90.00°, γ = 82.68°
Last column: nearest neighbours and their distance in Å.
Fractional positions:
Ba1 0.8402 0.2730 0.9525  6 Te 3.46-3.87
Ba2 0.1598 0.2270 0.4525  6 Te 3.46-3.87
Ba3 0.1598 0.7270 0.0475  6 Te 3.46-3.87
Ba4 0.8402 0.7730 0.5475  6 Te 3.46-3.87
Cd1 0.3978 0.9037 0.6925  4 Te 2.79-3.01
Cd2 0.6022 0.0963 0.3075  4 Te 2.79-3.01
Cd3 0.6022 0.5963 0.1925  4 Te 2.79-3.01
Cd4 0.3978 0.4037 0.8075  4 Te 2.79-3.01
Te1 0.0762 0.9879 0.7559  1 Cd 2.79
Te2 0.9238 0.5121 0.2559  1 Cd 2.79
Te3 0.9238 0.0121 0.2441  1 Cd 2.79
Te4 0.0762 0.4879 0.7441  1 Cd 2.79
Te5 0.4265 0.3417 0.1473  3 Cd 2.86-3.01
Te6 0.4265 0.8417 0.3527  3 Cd 2.86-3.01
Te7 0.5735 0.6583 0.8527  3 Cd 2.86-3.01
Te8 0.5735 0.1583 0.6473  3 Cd 2.86-3.01

CsPuMg2Cl8: optimized geometry, PBE.

Summary:
**SG**: P-1, No. 2
**Raw formation energy**: -1.8498 eV/atom

a = 6.6171 Å, b = 6.8986 Å, c = 9.4823 Å
α = 71.94°, β = 74.07°, γ = 73.07°
Last column: nearest neighbours and their distance in Å.
Fractional positions:
Cs1 0.0000 0.0000 0.5000  4 Cl 3.45-3.51
Pu1 0.0000 0.0000 0.0000  6 Cl 2.69-2.78
Mg1 0.4620 0.4544 0.7094  5 Cl 2.42-2.54
Mg2 0.5380 0.5456 0.2906  5 Cl 2.42-2.54
Cl1 0.1798 0.7000 0.2323  1 Mg 2.44
Cl2 0.7166 0.7616 0.0545  1 Mg 2.48, 1 Pu 2.69
Cl3 0.7387 0.2296 0.1995  1 Mg 2.47, 1 Pu 2.75
Cl4 0.8202 0.3000 0.7677  1 Mg 2.44
Cl5 0.2834 0.2384 0.9455  1 Mg 2.48, 1 Pu 2.69
Cl6 0.2613 0.7704 0.8005  1 Mg 2.47, 1 Pu 2.75
Cl7 0.6012 0.7037 0.4648  2 Mg 2.42-2.54
Cl8 0.3988 0.2963 0.5352  2 Mg 2.42-2.54

MnInFe4: optimized geometry, PBE.

Summary:
**SG**: F-43m, No. 216
**Formation energy from the elements**: 0.14 eV/atom

a = 4.7975 Å, b = 4.7975 Å, c = 4.7975 Å
α = 60.00°, β = 60.00°, γ = 60.00°
Last column: nearest neighbours and their distance in Å.
Fractional positions:
Mn1 0.0000 0.0000 0.0000  12 Fe 2.81, 4 In 2.94
In1 0.7500 0.7500 0.7500  12 Fe 2.81, 4 Mn 2.94
Fe1 0.8762 0.3746 0.3746  6 Fe 2.39-2.41
Fe2 0.3746 0.3746 0.8762  6 Fe 2.39-2.41
Fe3 0.3746 0.8762 0.3746  6 Fe 2.39-2.41
Fe4 0.3746 0.3746 0.3746  6 Fe 2.39-2.41

LiCeY: optimized geometry, PBE.

Summary:
**SG**: P3m1, No. 156
**E above lowest polymorph**: 20 meV/atom
**Formation energy from the elements**: 0.17 eV/atom

a = 3.4103 Å, b = 3.4103 Å, c = 8.4213 Å
α = 90.00°, β = 90.00°, γ = 120.00°
Last column: nearest neighbours and their distance in Å.
Fractional positions:
Y1 0.6667 0.3333 0.3372  3 Li 3.39, 6 Y 3.41, 3 Ce 3.47
Ce1 0.0000 0.0000 0.9978  6 Ce 3.41, 3 Li 3.42, 3 Y 3.47
Li1 0.3333 0.6667 0.6650  3 Y 3.39, 6 Li 3.41, 3 Ce 3.42

Fe2OsPd: optimized geometry, PBE.

Summary:
**SG**: I-42d, No. 122
**E above lowest polymorph**: 639 meV/atom
**Formation energy from the elements**: 0.74 eV/atom

a = 6.5583 Å, b = 6.5583 Å, c = 5.3380 Å
α = 52.10°, β = 52.10°, γ = 90.00°
Last column: nearest neighbours and their distance in Å.
Fractional positions:
Os1 0.0000 0.0000 0.0000  4 Fe 2.26
Os2 0.7500 0.2500 0.5000  4 Fe 2.26
Fe1 0.6596 0.1250 0.2500  2 Os 2.26
Fe2 0.0904 0.6250 0.2500  2 Os 2.26
Fe3 0.3750 0.3404 0.7500  2 Os 2.26
Fe4 0.8750 0.9096 0.7500  2 Os 2.26
Pd1 0.5000 0.5000 0.0000  4 Fe 2.57, 2 Os 2.64
Pd2 0.2500 0.7500 0.5000  4 Fe 2.57, 2 Os 2.64

Er2Ga9Ag: optimized geometry, PBE.

Summary:
**SG**: P4/mmm, No. 123
**Formation energy from the elements**: -0.32 eV/atom

a = 4.2593 Å, b = 4.2593 Å, c = 12.4844 Å
α = 90.00°, β = 90.00°, γ = 90.00°
Last column: nearest neighbours and their distance in Å.
Fractional positions:
Er1 0.0000 0.0000 0.3285  12 Ga 3.01-3.05
Er2 0.0000 0.0000 0.6715  12 Ga 3.01-3.05
Ga1 0.5000 0.5000 0.0000  8 Ga 2.87, 4 Ag 3.01
Ga2 0.5000 0.5000 0.3392  8 Ga 2.93-3.14, 4 Er 3.01
Ga3 0.5000 0.5000 0.6608  8 Ga 2.93-3.14, 4 Er 3.01
Ga4 0.5000 0.0000 0.1541  2 Ag 2.87, 8 Ga 2.87-3.14, 2 Er 3.05
Ga5 0.5000 0.0000 0.5000  8 Ga 2.93-3.01, 4 Er 3.02
Ga6 0.5000 0.0000 0.8459  2 Ag 2.87, 8 Ga 2.87-3.14, 2 Er 3.05
Ga7 0.0000 0.5000 0.1541  8 Ga 2.87-3.14, 2 Ag 2.87, 2 Er 3.05
Ga8 0.0000 0.5000 0.5000  8 Ga 2.93-3.01, 4 Er 3.02
Ga9 0.0000 0.5000 0.8459  8 Ga 2.87-3.14, 2 Ag 2.87, 2 Er 3.05
Ag1 0.0000 0.0000 0.0000  12 Ga 2.87-3.01

Y2ThHg: optimized geometry, PBE.

Summary:
**SG**: R3m, No. 160
**E above lowest polymorph**: 130 meV/atom
**Formation energy from the elements**: -0.13 eV/atom

a = 3.6297 Å, b = 3.6297 Å, c = 10.8174 Å
α = 80.34°, β = 80.34°, γ = 60.00°
Last column: nearest neighbours and their distance in Å.
Fractional positions:
Y1 0.0749 0.0749 0.7753  3 Hg 3.18
Y2 0.2584 0.2584 0.2247  3 Hg 3.17
Th1 0.5002 0.5002 0.4994  6 Y 3.59-3.60, 6 Th 3.63
Hg1 0.6665 0.6665 0.0006  6 Y 3.17-3.18

Zn2OsRh: optimized geometry, PBE.

Summary:
**SG**: I-4m2, No. 119
**E above lowest polymorph**: 147 meV/atom
**Formation energy from the elements**: 0.14 eV/atom

a = 4.6674 Å, b = 4.6674 Å, c = 4.6674 Å
α = 131.13°, β = 131.13°, γ = 71.61°
Last column: nearest neighbours and their distance in Å.
Fractional positions:
Os1 0.5000 0.5000 0.0000  4 Rh 2.70, 8 Zn 2.70-2.73
Rh1 0.7500 0.2500 0.5000  4 Os 2.70, 8 Zn 2.70-2.73
Zn1 0.0000 0.0000 0.0000  4 Rh 2.70, 4 Zn 2.70, 4 Os 2.73
Zn2 0.2500 0.7500 0.5000  4 Os 2.70, 4 Zn 2.70, 4 Rh 2.73

IrW: optimized geometry, PBE.

Summary:
**SG**: C2/m, No. 12
**E above lowest polymorph**: 118 meV/atom
**Formation energy from the elements**: -0.18 eV/atom

a = 4.8493 Å, b = 2.7967 Å, c = 9.1741 Å
α = 90.00°, β = 99.61°, γ = 90.00°
Last column: nearest neighbours and their distance in Å.
Fractional positions:
Ir1 0.3574 0.0000 0.1229  7 W 2.69-2.82, 5 Ir 2.80-2.87
Ir2 0.6426 0.0000 0.8771  7 W 2.69-2.82, 5 Ir 2.80-2.87
Ir3 0.3574 0.5000 0.6229  7 W 2.69-2.82, 5 Ir 2.80-2.87
Ir4 0.6426 0.5000 0.3771  7 W 2.69-2.82, 5 Ir 2.80-2.87
W1 0.1489 0.0000 0.3787  7 Ir 2.69-2.82, 5 W 2.80-2.91
W2 0.8511 0.0000 0.6213  7 Ir 2.69-2.82, 5 W 2.80-2.91
W3 0.1489 0.5000 0.8787  7 Ir 2.69-2.82, 5 W 2.80-2.91
W4 0.8511 0.5000 0.1213  7 Ir 2.69-2.82, 5 W 2.80-2.91

Y3Tc: optimized geometry, PBE.

Summary:
**SG**: Cmmm, No. 65
**Formation energy from the elements**: 0.05 eV/atom

a = 3.4739 Å, b = 3.4739 Å, c = 8.9337 Å
α = 90.00°, β = 90.00°, γ = 90.12°
Last column: nearest neighbours and their distance in Å.
Fractional positions:
Tc1 0.0000 0.0000 0.0000  8 Y 2.96
Y1 0.0000 0.0000 0.5000  12 Y 3.47-3.74
Y2 0.5000 0.5000 0.1846  4 Tc 2.96, 1 Y 3.30
Y3 0.5000 0.5000 0.8154  4 Tc 2.96, 1 Y 3.30

Ni2AgIrCl: optimized geometry, PBE.

Summary:
**SG**: P4/mmm, No. 123
**Raw formation energy**: 1.7523 eV/atom

a = 4.7036 Å, b = 5.0001 Å, c = 4.7036 Å
α = 90.00°, β = 90.00°, γ = 90.00°
Last column: nearest neighbours and their distance in Å.
Fractional positions:
Ni1 0.0000 0.0000 0.5000  2 Ag 2.35
Ni2 0.5000 0.0000 0.0000  2 Ag 2.35
Ir1 0.0000 0.5000 0.0000  2 Ag 2.50
Ag1 0.0000 0.0000 0.0000  4 Ni 2.35, 2 Ir 2.50
Cl1 0.5000 0.5000 0.5000  4 Ir 3.33, 8 Ni 3.43

La4Pm2Nd5: optimized geometry, PBE.

Summary:
**SG**: Immm, No. 71
**E above lowest polymorph**: 147 meV/atom
**Formation energy from the elements**: 0.22 eV/atom

a = 3.5859 Å, b = 9.5677 Å, c = 12.7793 Å
α = 111.98°, β = 98.07°, γ = 90.00°
Last column: nearest neighbours and their distance in Å.
Fractional positions:
La1 0.0000 0.2920 0.0000  4 Nd 3.32-3.60, 6 La 3.46-3.59
La2 0.5934 0.5934 0.1867  1 Pm 3.16, 4 La 3.46
La3 0.0000 0.7080 0.0000  4 Nd 3.32-3.60, 6 La 3.46-3.59
La4 0.4066 0.4066 0.8133  1 Pm 3.16, 4 La 3.46
Pm1 0.2717 0.2717 0.5435  1 La 3.16, 2 Nd 3.44
Pm2 0.7283 0.7283 0.4565  1 La 3.16, 2 Nd 3.44
Nd1 0.8510 0.0492 0.7019  1 Pm 3.44, 3 Nd 3.59-3.79, 3 La 3.60-3.64
Nd2 0.8510 0.6528 0.7019  1 Pm 3.44, 3 Nd 3.59-3.79, 3 La 3.60-3.64
Nd3 0.1490 0.3472 0.2981  1 Pm 3.44, 3 Nd 3.59-3.79, 3 La 3.60-3.64
Nd4 0.1490 0.9508 0.2981  1 Pm 3.44, 3 Nd 3.59-3.79, 3 La 3.60-3.64
Nd5 0.5000 0.0000 0.0000  4 La 3.32, 2 Nd 3.59

InAs3Se: optimized geometry, PBE.

Summary:
**SG**: Pm-3m, No. 221
**Raw formation energy**: 1.0810 eV/atom
**E above lowest polymorph**: 404 meV/atom

a = 5.2047 Å, b = 5.2047 Å, c = 5.2047 Å
α = 90.00°, β = 90.00°, γ = 90.00°
Last column: nearest neighbours and their distance in Å.
Fractional positions:
As1 0.0000 0.5000 0.0000  2 In 2.60
As2 0.0000 0.0000 0.5000  2 In 2.60
As3 0.5000 0.0000 0.0000  2 In 2.60
Se1 0.5000 0.5000 0.5000  12 As 3.68
In1 0.0000 0.0000 0.0000  6 As 2.60

CaBiAu: optimized geometry, PBE.

Summary:
**SG**: R-3m, No. 166
**Formation energy from the elements**: -0.63 eV/atom

a = 8.8231 Å, b = 4.8852 Å, c = 4.8867 Å
α = 119.95°, β = 106.12°, γ = 89.99°
Last column: nearest neighbours and their distance in Å.
Fractional positions:
Ca1 0.6531 0.3576 0.5020  2 Au 2.92
Ca2 0.1531 0.8574 0.5016  6 Au 3.09
Au1 0.0027 0.4738 0.7350  4 Ca 2.92-3.09, 3 Bi 2.95
Au2 0.3035 0.2410 0.2682  4 Ca 2.92-3.09, 3 Bi 2.95
Bi1 0.4072 0.6090 0.0040  3 Au 2.95
Bi2 0.8990 0.1059 0.9993  3 Au 2.95

Be2ReB: optimized geometry, PBE.

Summary:
**SG**: P2_1/m, No. 11
**Formation energy from the elements**: -0.36 eV/atom

a = 3.0873 Å, b = 4.1766 Å, c = 5.8936 Å
α = 90.00°, β = 90.00°, γ = 111.71°
Last column: nearest neighbours and their distance in Å.
Fractional positions:
Be1 0.3546 0.7104 0.5585  3 B 2.03-2.05, 1 Be 2.26
Be2 0.6454 0.2896 0.4415  3 B 2.03-2.05, 1 Be 2.26
Be3 0.3546 0.7104 0.9415  3 B 2.03-2.05, 1 Be 2.26
Be4 0.6454 0.2896 0.0585  3 B 2.03-2.05, 1 Be 2.26
Re1 0.9407 0.8800 0.2500  3 B 2.22-2.28, 8 Be 2.47-2.49
Re2 0.0593 0.1200 0.7500  3 B 2.22-2.28, 8 Be 2.47-2.49
B1 0.7657 0.5333 0.7500  6 Be 2.03-2.05, 2 Re 2.22-2.23
B2 0.2343 0.4667 0.2500  6 Be 2.03-2.05, 2 Re 2.22-2.23

LaZn3Au4: optimized geometry, PBE.

Summary:
**SG**: P4/mmm, No. 123
**Formation energy from the elements**: -0.39 eV/atom

a = 4.6910 Å, b = 4.6910 Å, c = 7.5533 Å
α = 90.00°, β = 90.00°, γ = 90.00°
Last column: nearest neighbours and their distance in Å.
Fractional positions:
Zn1 0.0000 0.0000 0.0000  8 Au 2.75
Zn2 0.5000 0.5000 0.3364  1 Zn 2.47, 4 Au 2.59
Zn3 0.5000 0.5000 0.6636  1 Zn 2.47, 4 Au 2.59
Au1 0.0000 0.5000 0.1913  4 Zn 2.59-2.75, 1 Au 2.89
Au2 0.0000 0.5000 0.8087  4 Zn 2.59-2.75, 1 Au 2.89
Au3 0.5000 0.0000 0.8087  4 Zn 2.59-2.75, 1 Au 2.89
Au4 0.5000 0.0000 0.1913  4 Zn 2.59-2.75, 1 Au 2.89
La1 0.0000 0.0000 0.5000  8 Au 3.31, 8 Zn 3.54

Ba2IrRu: optimized geometry, PBE.

Summary:
**SG**: Cmm2, No. 35
**Formation energy from the elements**: 0.37 eV/atom

a = 3.6090 Å, b = 3.6090 Å, c = 9.5759 Å
α = 90.00°, β = 90.00°, γ = 94.54°
Last column: nearest neighbours and their distance in Å.
Fractional positions:
Ba1 0.0000 0.0000 0.9106  1 Ir 3.07
Ba2 0.5000 0.5000 0.3432  1 Ru 3.00
Ir1 0.0000 0.0000 0.5898  4 Ru 2.53-2.73
Ru1 0.5000 0.5000 0.6564  4 Ir 2.53-2.73

no.,energy (eV per atom)
1,-3.525
2,-4.544
3,-3.820
4,-3.347
5,-4.612
6,-7.486
7,-4.605
8,-7.596
9,-3.585
10,-5.294
11,-5.146
12,-11.090
13,-7.390
14,-3.272
15,-4.608
16,-2.953
17,-3.687
18,-7.004
19,-3.118
20,-5.126